Record 1
Computed, not measured: a relaxed structure of NaAg2Sn2 at the GGA-PBEsol level of DFT.

abc: 8.5430 8.5430 3.0762
angles: 90.00 90.00 90.00
Space group P4/mbm (No. 127)
Unique sites:
Na  0.0000  0.0000  0.0000 x2
Ag  0.1490  0.3510  0.5000 x4
Sn  0.1469  0.6469  0.0000 x4

Computed properties:
Energy relative to the lowest polymorph listed for this composition   0.0000 eV/atom
Total energy   -3.34 eV/atom
Magnetization   0.0 μB per formula unit
Formation energy from the elements   -0.0341 eV/atom

---

Record 2
Computed, not measured: a relaxed structure of NaAg2Sn at the GGA-PBEsol level of DFT.

abc: 6.7613 6.7613 6.7613
angles: 90.00 90.00 90.00
Space group Fm-3m (No. 225)
Unique sites:
Na  0.0000  0.0000  0.0000 x4
Ag  0.2500  0.2500  0.2500 x8
Sn  0.0000  0.0000  0.5000 x4

Computed properties:
Total energy   -3.16 eV/atom
Magnetization   0.0 μB per formula unit
Formation energy from the elements   -0.0855 eV/atom

---

Record 3
Computed, not measured: a relaxed structure of Na2SrAg2 at the GGA-PBEsol level of DFT.

abc: 4.4062 4.4062 14.0368
angles: 90.00 90.00 90.00
Space group I4/mmm (No. 139)
Unique sites:
Na  0.0000  0.5000  0.2500 x4
Sr  0.0000  0.0000  0.0000 x2
Ag  0.0000  0.0000  0.4043 x4

Computed properties:
Total energy   -2.32 eV/atom
Magnetization   0.0 μB per formula unit
Formation energy from the elements   -0.0648 eV/atom